1.
Material: ErFeP2Ru
Method: DFT, GGA-PBE
State: optimized geometry

Properties
total magnetization = 0.0 μB per formula unit
DFT formation energy = -0.984 eV per atom
uncorrected energy = -7.61 eV per atom

Geometry as CIF:
```
data_ErFeP2Ru
_chemical_formula_sum 'Er2 Fe2 P4 Ru2'
_symmetry_space_group_name_H-M 'I -4 m 2'
_symmetry_Int_Tables_number 119
_symmetry_space_group_name_Hall 'I -4 -2'
_cell_length_a 3.9383
_cell_length_b 3.9383
_cell_length_c 9.4634
_cell_angle_alpha 90.00
_cell_angle_beta 90.00
_cell_angle_gamma 90.00
loop_
_atom_site_label
_atom_site_type_symbol
_atom_site_fract_x
_atom_site_fract_y
_atom_site_fract_z
Er1 Er 0.0000 0.0000 0.0000
Fe1 Fe 0.0000 0.5000 0.2500
P1 P 0.0000 0.0000 0.3738
Ru1 Ru 0.0000 0.5000 0.7500
```



2.
Material: Er2PaFe2
Method: DFT, GGA-PBE
State: optimized geometry

Properties
total magnetization = 0.0 μB per formula unit
DFT formation energy = -0.200 eV per atom
uncorrected energy = -7.31 eV per atom

Geometry as CIF:
```
data_Er2PaFe2
_chemical_formula_sum 'Er8 Pa4 Fe8'
_symmetry_space_group_name_H-M 'C 1 2/c 1'
_symmetry_Int_Tables_number 15
_symmetry_space_group_name_Hall '-C 2yc'
_cell_length_a 10.1112
_cell_length_b 6.0140
_cell_length_c 6.8595
_cell_angle_alpha 90.00
_cell_angle_beta 98.44
_cell_angle_gamma 90.00
loop_
_atom_site_label
_atom_site_type_symbol
_atom_site_fract_x
_atom_site_fract_y
_atom_site_fract_z
Er1 Er 0.1520 0.1082 0.1467
Pa1 Pa 0.0000 0.4217 0.7500
Fe1 Fe 0.1512 0.3482 0.5159
```



3.
Material: Er2PaFe9
Method: DFT, GGA-PBE
State: optimized geometry

Properties
total magnetization = 16.0 μB per formula unit
DFT formation energy = -0.099 eV per atom
uncorrected energy = -8.00 eV per atom

Geometry as CIF:
```
data_Er2PaFe9
_chemical_formula_sum 'Er6 Pa3 Fe27'
_symmetry_space_group_name_H-M 'R -3 m'
_symmetry_Int_Tables_number 166
_symmetry_space_group_name_Hall '-R 3 2"'
_cell_length_a 5.0079
_cell_length_b 5.0079
_cell_length_c 24.6324
_cell_angle_alpha 90.00
_cell_angle_beta 90.00
_cell_angle_gamma 120.00
loop_
_atom_site_label
_atom_site_type_symbol
_atom_site_fract_x
_atom_site_fract_y
_atom_site_fract_z
Er1 Er 0.0000 0.0000 0.1420
Pa1 Pa 0.0000 0.0000 0.0000
Fe1 Fe 0.0000 0.0000 0.3325
Fe2 Fe 0.0000 0.0000 0.5000
Fe3 Fe 0.0002 0.5001 0.0827
```



What did the second record say?
Material: Er2PaFe2
Method: DFT, GGA-PBE
State: optimized geometry

Properties
total magnetization = 0.0 μB per formula unit
DFT formation energy = -0.200 eV per atom
uncorrected energy = -7.31 eV per atom

Geometry as CIF:
```
data_Er2PaFe2
_chemical_formula_sum 'Er8 Pa4 Fe8'
_symmetry_space_group_name_H-M 'C 1 2/c 1'
_symmetry_Int_Tables_number 15
_symmetry_space_group_name_Hall '-C 2yc'
_cell_length_a 10.1112
_cell_length_b 6.0140
_cell_length_c 6.8595
_cell_angle_alpha 90.00
_cell_angle_beta 98.44
_cell_angle_gamma 90.00
loop_
_atom_site_label
_atom_site_type_symbol
_atom_site_fract_x
_atom_site_fract_y
_atom_site_fract_z
Er1 Er 0.1520 0.1082 0.1467
Pa1 Pa 0.0000 0.4217 0.7500
Fe1 Fe 0.1512 0.3482 0.5159
```